1.
DFT (PBEsol) results for a geometry-optimized BeInBr structure.

a = 3.2930 Å, b = 3.2930 Å, c = 7.4386 Å
α = 90.00°, β = 90.00°, γ = 120.00°
With the nearest neighbours (Å) after each atom.
Space group P3m1 (No. 156)
Unique sites:
Be 0.0000 0.0000 0.0000 [1 per cell]  3 Br 2.30
In 0.6667 0.3333 0.2830 [1 per cell]  3 Be 2.84
Br 0.3333 0.6667 0.8270 [1 per cell]  3 Be 2.30

Output
- energy relative to the elements, uncorrected (meV/atom) = 17
- electronic total energy (eV per atom) = -2.934
- M_tot (Bohr magnetons per cell) = 0.00

---

2.
DFT (PBEsol) results for a geometry-optimized KBa3 structure.

a = 6.2877 Å, b = 6.2877 Å, c = 6.2877 Å
α = 90.00°, β = 90.00°, γ = 90.00°
With the nearest neighbours (Å) after each atom.
Space group Pm-3m (No. 221)
Unique sites:
K 0.0000 0.0000 0.0000 [1 per cell]  12 Ba 4.45
Ba 0.0000 0.5000 0.5000 [3 per cell]  8 Ba 4.45, 4 K 4.45

Output
- energy of formation from the pure elements (eV per atom) = 0.110
- electronic total energy (eV per atom) = -1.785
- excess energy over the best structure of this formula in the dataset (eV per atom) = 0.058
- M_tot (Bohr magnetons per cell) = 0.00

---

3.
DFT (PBEsol) results for a geometry-optimized CaTa2Co2 structure.

a = 4.4074 Å, b = 4.4074 Å, c = 9.4860 Å
α = 90.00°, β = 90.00°, γ = 90.00°
With the nearest neighbours (Å) after each atom.
Space group I4/mmm (No. 139)
Unique sites:
Ca 0.0000 0.0000 0.0000 [2 per cell]  8 Co 3.24, 10 Ta 3.32-3.43
Ta 0.0000 0.0000 0.3502 [4 per cell]  4 Co 2.40
Co 0.0000 0.5000 0.2500 [4 per cell]  4 Ta 2.40

Output
- energy of formation from the pure elements (eV per atom) = 0.389
- electronic total energy (eV per atom) = -8.153
- M_tot (Bohr magnetons per cell) = 0.00

---

4.
DFT (PBEsol) results for a geometry-optimized BaY2Mn structure.

a = 6.9417 Å, b = 9.0394 Å, c = 3.6787 Å
α = 90.00°, β = 90.00°, γ = 90.00°
With the nearest neighbours (Å) after each atom.
Space group Cmmm (No. 65)
Unique sites:
Ba 0.0000 0.0000 0.0000 [2 per cell]  8 Y 3.39, 2 Mn 3.47, 2 Ba 3.68
Y 0.2500 0.2500 0.5000 [4 per cell]  4 Ba 3.39, 4 Mn 3.39, 4 Y 3.47-3.68
Mn 0.0000 0.5000 0.0000 [2 per cell]  8 Y 3.39, 2 Ba 3.47, 2 Mn 3.68

Output
- energy of formation from the pure elements (eV per atom) = 0.603
- electronic total energy (eV per atom) = -5.785
- M_tot (Bohr magnetons per cell) = 6.92

---

5.
DFT (PBEsol) results for a geometry-optimized Ba2TlHg structure.

a = 5.9040 Å, b = 5.9040 Å, c = 4.0918 Å
α = 90.00°, β = 90.00°, γ = 90.00°
With the nearest neighbours (Å) after each atom.
Space group P4/mmm (No. 123)
Unique sites:
Ba 0.0000 0.5000 0.0000 [2 per cell]  4 Hg 3.59, 4 Tl 3.59
Tl 0.0000 0.0000 0.5000 [1 per cell]  8 Ba 3.59
Hg 0.5000 0.5000 0.5000 [1 per cell]  8 Ba 3.59

Output
- energy of formation from the pure elements (eV per atom) = -0.495
- electronic total energy (eV per atom) = -2.369
- M_tot (Bohr magnetons per cell) = 0.00

---

6.
DFT (PBEsol) results for a geometry-optimized Te2AsPb structure.

a = 3.6570 Å, b = 3.6570 Å, c = 7.7153 Å
α = 90.00°, β = 90.00°, γ = 90.00°
With the nearest neighbours (Å) after each atom.
Space group P4/mmm (No. 123)
Unique sites:
Te 0.0000 0.0000 0.2242 [2 per cell]  4 As 3.11, 4 Pb 3.35, 1 Te 3.46
As 0.5000 0.5000 0.0000 [1 per cell]  8 Te 3.11
Pb 0.5000 0.5000 0.5000 [1 per cell]  8 Te 3.35, 4 Pb 3.66

Output
- energy relative to the elements, uncorrected (meV/atom) = 135
- electronic total energy (eV per atom) = -3.904
- excess energy over the best structure of this formula in the dataset (eV per atom) = 0.140
- M_tot (Bohr magnetons per cell) = 0.00

---

7.
DFT (PBEsol) results for a geometry-optimized Na2OsBrCl structure.

a = 5.7144 Å, b = 5.7144 Å, c = 4.4805 Å
α = 90.00°, β = 90.00°, γ = 90.00°
With the nearest neighbours (Å) after each atom.
Space group P4/mmm (No. 123)
Unique sites:
Na 0.0000 0.5000 0.0000 [2 per cell]  2 Os 2.86
Os 0.0000 0.0000 0.0000 [1 per cell]  2 Br 2.24
Br 0.0000 0.0000 0.5000 [1 per cell]  2 Os 2.24
Cl 0.5000 0.5000 0.5000 [1 per cell]  8 Na 3.63, 4 Br 4.04

Output
- energy relative to the elements, uncorrected (meV/atom) = 237
- electronic total energy (eV per atom) = -3.541
- M_tot (Bohr magnetons per cell) = 0.59

---

8.
DFT (PBEsol) results for a geometry-optimized InAgCl structure.

a = 6.8270 Å, b = 6.8270 Å, c = 6.8270 Å
α = 90.00°, β = 90.00°, γ = 90.00°
With the nearest neighbours (Å) after each atom.
Space group F-43m (No. 216)
Unique sites:
In 0.0000 0.0000 0.0000 [4 per cell]  4 Cl 2.96
Ag 0.0000 0.0000 0.5000 [4 per cell]  4 Cl 2.96
Cl 0.2500 0.2500 0.7500 [4 per cell]  4 Ag 2.96, 4 In 2.96

Output
- energy relative to the elements, uncorrected (meV/atom) = 224
- electronic total energy (eV per atom) = -2.543
- M_tot (Bohr magnetons per cell) = 0.00

---

9.
DFT (PBEsol) results for a geometry-optimized Tm4MnS7 structure.

a = 12.2127 Å, b = 3.7047 Å, c = 11.1562 Å
α = 90.00°, β = 105.14°, γ = 90.00°
With the nearest neighbours (Å) after each atom.
Space group Cm (No. 8)
Unique sites:
Tm 0.0000 0.0000 0.0000 [2 per cell]  7 S 2.67-2.93
Tm 0.0868 0.5000 0.3687 [2 per cell]  6 S 2.62-2.69
Tm 0.1939 0.5000 0.8087 [2 per cell]  6 S 2.60-2.66
Tm 0.3863 0.0000 0.5960 [2 per cell]  6 S 2.63-2.82
Mn 0.3168 0.5000 0.2249 [2 per cell]  6 S 2.48-2.58
S 0.0334 0.0000 0.7489 [2 per cell]  5 Tm 2.65-2.93
S 0.1620 0.5000 0.0306 [2 per cell]  1 Mn 2.48, 3 Tm 2.60-2.67
S 0.2174 0.0000 0.3146 [2 per cell]  2 Mn 2.56, 2 Tm 2.62
S 0.2319 0.5000 0.5886 [2 per cell]  4 Tm 2.62-2.63
S 0.3562 0.0000 0.8504 [2 per cell]  5 Tm 2.66-2.96
S 0.4309 0.0000 0.1526 [2 per cell]  2 Mn 2.57, 3 Tm 2.65-2.79
S 0.4582 0.5000 0.4424 [2 per cell]  1 Mn 2.58, 4 Tm 2.69-2.82

Output
- energy relative to the elements, uncorrected (meV/atom) = -1818
- electronic total energy (eV per atom) = -6.822
- M_tot (Bohr magnetons per cell) = 10.00

---

10.
DFT (PBEsol) results for a geometry-optimized Ag4C structure.

a = 5.4138 Å, b = 5.4138 Å, c = 5.4138 Å
α = 90.00°, β = 90.00°, γ = 90.00°
With the nearest neighbours (Å) after each atom.
Space group Im-3m (No. 229)
Unique sites:
Ag 0.2500 0.2500 0.2500 [8 per cell]  2 C 2.34
C 0.0000 0.0000 0.0000 [2 per cell]  8 Ag 2.34

Output
- energy of formation from the pure elements (eV per atom) = 0.846
- electronic total energy (eV per atom) = -3.732
- excess energy over the best structure of this formula in the dataset (eV per atom) = 0.000
- M_tot (Bohr magnetons per cell) = 0.00

---

11.
DFT (PBEsol) results for a geometry-optimized BaTa2In structure.

a = 3.1981 Å, b = 4.2043 Å, c = 7.4733 Å
α = 90.00°, β = 90.00°, γ = 90.00°
With the nearest neighbours (Å) after each atom.
Space group Pmmm (No. 47)
Unique sites:
Ba 0.0000 0.0000 0.0000 [1 per cell]  2 Ba 3.20
Ta 0.5000 0.5000 0.3309 [2 per cell]  1 Ta 2.53
In 0.0000 0.0000 0.5000 [1 per cell]  8 Ta 2.93, 2 In 3.20

Output
- energy of formation from the pure elements (eV per atom) = 0.731
- electronic total energy (eV per atom) = -6.827
- excess energy over the best structure of this formula in the dataset (eV per atom) = 0.293
- M_tot (Bohr magnetons per cell) = 0.00

---

12.
DFT (PBEsol) results for a geometry-optimized K2ZrFeP3O12 structure.

a = 10.1034 Å, b = 10.1034 Å, c = 10.1034 Å
α = 90.00°, β = 90.00°, γ = 90.00°
With the nearest neighbours (Å) after each atom.
Space group P2_13 (No. 198)
Unique sites:
K 0.0513 0.0513 0.0513 [4 per cell]  3 O 2.83
K 0.1871 0.3129 0.6871 [4 per cell]  12 O 2.91-3.24
Zr 0.1648 0.6648 0.8352 [4 per cell]  6 O 2.05-2.06
Fe 0.1058 0.8942 0.3942 [4 per cell]  6 O 2.00-2.02
P 0.0177 0.2050 0.3704 [12 per cell]  4 O 1.53-1.55
O 0.0013 0.5596 0.7724 [12 per cell]  1 P 1.55
O 0.0140 0.0588 0.3283 [12 per cell]  1 P 1.54
O 0.0489 0.7921 0.2341 [12 per cell]  1 P 1.53
O 0.1025 0.8387 0.7509 [12 per cell]  1 P 1.55

Output
- energy relative to the elements, uncorrected (meV/atom) = -2386
- electronic total energy (eV per atom) = -7.685
- M_tot (Bohr magnetons per cell) = 20.00